[1]
RbZr2Au: optimized geometry, PBE.

Cell: 5.0443 5.0443 5.0443 Å, 60.00 60.00 60.00°
With the nearest neighbours (Å) after each atom.
Atoms (fractional coordinates):
Rb 0.0000 0.0000 0.0000  8 Zr 3.09
Zr 0.2500 0.2500 0.2500  4 Rb 3.09, 4 Au 3.09
Zr 0.7500 0.7500 0.7500  4 Au 3.09, 4 Rb 3.09
Au 0.5000 0.5000 0.5000  8 Zr 3.09

ΔE to the lowest computed polymorph, meV per atom: 0
Calculated formation energy, eV/atom: 0.695
DOS(E_F), states/eV per cell: 2.475

=====

[2]
Li2Tl3TcO6: optimized geometry, PBE.

Cell: 5.8309 5.8309 6.8040 Å, 90.00 90.00 120.00°
With the nearest neighbours (Å) after each atom.
Atoms (fractional coordinates):
Li 0.3333 0.6667 0.2635  3 O 1.88
Li 0.6667 0.3333 0.7365  3 O 1.88
Tl 0.0000 0.0000 0.0000  6 O 2.77
Tl 0.3333 0.6667 0.6823  1 Li 2.85, 9 O 2.92-2.97
Tl 0.6667 0.3333 0.3177  1 Li 2.85, 9 O 2.92-2.97
Tc 0.0000 0.0000 0.5000  6 O 1.91
O 0.1542 0.3084 0.3362  1 Li 1.88, 1 Tc 1.91
O 0.1542 0.8458 0.3362  1 Li 1.88, 1 Tc 1.91
O 0.3084 0.1542 0.6638  1 Li 1.88, 1 Tc 1.91
O 0.6916 0.8458 0.3362  1 Li 1.88, 1 Tc 1.91
O 0.8458 0.1542 0.6638  1 Li 1.88, 1 Tc 1.91
O 0.8458 0.6916 0.6638  1 Li 1.88, 1 Tc 1.91

Formation energy from raw total energies, kJ per mole of atoms: -114

=====

[3]
ErZrRh4: optimized geometry, PBE.

Cell: 5.2958 5.2958 6.7073 Å, 109.01 109.01 36.20°
With the nearest neighbours (Å) after each atom.
Atoms (fractional coordinates):
Er 0.0000 0.0000 0.0000  10 Rh 2.86-3.11
Zr 0.0000 0.0000 0.5000  8 Rh 2.68-2.76
Rh 0.3284 0.3284 0.1879  2 Zr 2.76, 6 Rh 2.88-3.09, 2 Er 2.96
Rh 0.3454 0.3454 0.6482  2 Zr 2.68, 4 Rh 2.78-2.88, 2 Er 2.86
Rh 0.6546 0.6546 0.3518  2 Zr 2.68, 4 Rh 2.78-2.88, 2 Er 2.86
Rh 0.6716 0.6716 0.8121  2 Zr 2.76, 6 Rh 2.88-3.09, 2 Er 2.96

ΔE to the lowest computed polymorph, meV per atom: 210
Calculated formation energy, eV/atom: -0.462
DOS(E_F), states/eV per cell: 7.483

=====

[4]
SrCoBr: optimized geometry, PBE.

Cell: 5.2099 5.2099 8.7610 Å, 90.00 90.00 120.00°
With the nearest neighbours (Å) after each atom.
Atoms (fractional coordinates):
Sr 0.3333 0.6667 0.2500  3 Br 3.01
Sr 0.6667 0.3333 0.7500  3 Br 3.01
Co 0.0000 0.0000 0.0000  2 Br 2.19
Co 0.0000 0.0000 0.5000  2 Br 2.19
Br 0.0000 0.0000 0.2500  2 Co 2.19
Br 0.0000 0.0000 0.7500  2 Co 2.19

Formation energy from raw total energies, kJ per mole of atoms: 13
DOS(E_F), states/eV per cell: 4.352

=====

[5]
BeNi2: optimized geometry, PBE.

Cell: 3.5893 3.5893 2.4965 Å, 90.00 90.00 90.00°
With the nearest neighbours (Å) after each atom.
Atoms (fractional coordinates):
Be 0.0000 0.0000 0.0000  8 Ni 2.19
Ni 0.0000 0.5000 0.5000  4 Be 2.19
Ni 0.5000 0.0000 0.5000  4 Be 2.19

Calculated formation energy, eV/atom: 0.054
DOS(E_F), states/eV per cell: 3.759

=====

[6]
YMgMo2C: optimized geometry, PBE.

Cell: 4.6665 4.6665 5.3109 Å, 90.00 90.00 90.00°
With the nearest neighbours (Å) after each atom.
Atoms (fractional coordinates):
Y 0.0000 0.0000 0.0000  2 Mg 2.66
Mg 0.0000 0.0000 0.5000  4 Mo 2.33
Mo 0.0000 0.5000 0.5000  2 Mg 2.33
Mo 0.5000 0.0000 0.5000  2 Mg 2.33
C 0.5000 0.5000 0.0000  4 Y 3.30, 8 Mo 3.53

Calculated formation energy, eV/atom: 2.785
DOS(E_F), states/eV per cell: 4.791

=====

[7]
MgTcOs2: optimized geometry, PBE.

Cell: 4.4565 4.4565 2.9676 Å, 90.00 90.00 90.00°
With the nearest neighbours (Å) after each atom.
Atoms (fractional coordinates):
Mg 0.0000 0.0000 0.0000  8 Os 2.68, 2 Mg 2.97
Tc 0.5000 0.5000 0.0000  8 Os 2.68, 2 Tc 2.97
Os 0.0000 0.5000 0.5000  4 Tc 2.68, 4 Mg 2.68, 2 Os 2.97
Os 0.5000 0.0000 0.5000  4 Tc 2.68, 4 Mg 2.68, 2 Os 2.97

Calculated formation energy, eV/atom: 0.327
DOS(E_F), states/eV per cell: 3.169

=====

[8]
RbRhOF2: optimized geometry, PBE.

Cell: 4.5142 4.5142 3.7717 Å, 90.00 90.00 90.00°
With the nearest neighbours (Å) after each atom.
Atoms (fractional coordinates):
Rb 0.0000 0.0000 0.0000  8 F 2.94, 4 O 3.19
Rh 0.5000 0.5000 0.5000  2 O 1.89
O 0.5000 0.5000 0.0000  2 Rh 1.89
F 0.0000 0.5000 0.5000  2 Rh 2.26
F 0.5000 0.0000 0.5000  2 Rh 2.26

ΔE to the lowest computed polymorph, meV per atom: 0
Formation energy from raw total energies, kJ per mole of atoms: -152
DOS(E_F), states/eV per cell: 3.374

=====

[9]
AlZn2HS: optimized geometry, PBE.

Cell: 4.9996 4.9996 3.3926 Å, 90.00 90.00 90.00°
With the nearest neighbours (Å) after each atom.
Atoms (fractional coordinates):
Al 0.0000 0.0000 0.0000  2 H 1.70
Zn 0.0000 0.5000 0.0000  2 Al 2.50
Zn 0.5000 0.0000 0.0000  2 Al 2.50
H 0.0000 0.0000 0.5000  2 Al 1.70
S 0.5000 0.5000 0.5000  8 Zn 3.02

Electronic total energy, eV per atom: -2.323
DOS(E_F), states/eV per cell: 3.298

=====

[10]
NdMgSb3: optimized geometry, PBE.

Cell: 13.7495 6.2425 6.3881 Å, 90.00 90.00 90.00°
With the nearest neighbours (Å) after each atom.
Atoms (fractional coordinates):
Nd 0.1790 0.0049 0.2500  9 Sb 3.23-3.49
Nd 0.1790 0.4951 0.7500  9 Sb 3.23-3.49
Nd 0.8210 0.5049 0.2500  9 Sb 3.23-3.49
Nd 0.8210 0.9951 0.7500  9 Sb 3.23-3.49
Mg 0.3953 0.7500 0.0000  6 Sb 3.00-3.16, 2 Mg 3.19
Mg 0.3953 0.7500 0.5000  6 Sb 3.00-3.16, 2 Mg 3.19
Mg 0.6047 0.2500 0.0000  6 Sb 3.00-3.16, 2 Mg 3.19
Mg 0.6047 0.2500 0.5000  6 Sb 3.00-3.16, 2 Mg 3.19
Sb 0.0019 0.7500 0.0000  4 Sb 3.12-3.19, 4 Nd 3.32-3.33
Sb 0.0019 0.7500 0.5000  4 Sb 3.12-3.19, 4 Nd 3.32-3.33
Sb 0.2498 0.0021 0.7500  2 Mg 3.00, 1 Sb 3.05, 4 Nd 3.23-3.34
Sb 0.2498 0.4979 0.2500  2 Mg 3.00, 1 Sb 3.05, 4 Nd 3.23-3.34
Sb 0.4197 0.1842 0.2500  4 Mg 3.03-3.16, 3 Sb 3.05-3.30
Sb 0.4197 0.3158 0.7500  4 Mg 3.03-3.16, 3 Sb 3.05-3.30
Sb 0.5803 0.6842 0.2500  4 Mg 3.03-3.16, 3 Sb 3.05-3.30
Sb 0.5803 0.8158 0.7500  4 Mg 3.03-3.16, 3 Sb 3.05-3.30
Sb 0.7502 0.5021 0.7500  2 Mg 3.00, 1 Sb 3.05, 4 Nd 3.23-3.34
Sb 0.7502 0.9979 0.2500  2 Mg 3.00, 1 Sb 3.05, 4 Nd 3.23-3.34
Sb 0.9981 0.2500 0.0000  4 Sb 3.12-3.19, 4 Nd 3.32-3.33
Sb 0.9981 0.2500 0.5000  4 Sb 3.12-3.19, 4 Nd 3.32-3.33

Formation energy from raw total energies, kJ per mole of atoms: -54
DOS(E_F), states/eV per cell: 9.248

=====

[11]
Pu3Se3O: optimized geometry, PBE.

Cell: 12.6791 4.0144 12.8913 Å, 90.00 90.00 90.00°
With the nearest neighbours (Å) after each atom.
Atoms (fractional coordinates):
Pu 0.0396 0.2500 0.1520  2 O 2.36
Pu 0.0735 0.2500 0.6249  1 O 2.25
Pu 0.2240 0.2500 0.8663  1 O 2.47
Pu 0.2760 0.7500 0.3663  1 O 2.47
Pu 0.4265 0.7500 0.1249  1 O 2.25
Pu 0.4604 0.7500 0.6520  2 O 2.36
Pu 0.5396 0.2500 0.3480  2 O 2.36
Pu 0.5735 0.2500 0.8751  1 O 2.25
Pu 0.7240 0.2500 0.6337  1 O 2.47
Pu 0.7760 0.7500 0.1337  1 O 2.47
Pu 0.9265 0.7500 0.3751  1 O 2.25
Pu 0.9604 0.7500 0.8480  2 O 2.36
Se 0.0903 0.2500 0.3918  6 Pu 2.90-3.16
Se 0.1315 0.7500 0.0022  5 Pu 2.91-3.02
Se 0.2245 0.7500 0.6935  5 Pu 2.91-3.04
Se 0.2755 0.2500 0.1935  5 Pu 2.91-3.04
Se 0.3685 0.2500 0.5022  5 Pu 2.91-3.02
Se 0.4097 0.7500 0.8918  6 Pu 2.90-3.16
Se 0.5903 0.2500 0.1082  6 Pu 2.90-3.16
Se 0.6315 0.7500 0.4978  5 Pu 2.91-3.02
Se 0.7245 0.7500 0.8065  5 Pu 2.91-3.04
Se 0.7755 0.2500 0.3065  5 Pu 2.91-3.04
Se 0.8685 0.2500 0.9978  5 Pu 2.91-3.02
Se 0.9097 0.7500 0.6082  6 Pu 2.90-3.16
O 0.0427 0.2500 0.7965  4 Pu 2.25-2.47
O 0.4573 0.7500 0.2965  4 Pu 2.25-2.47
O 0.5427 0.2500 0.7035  4 Pu 2.25-2.47
O 0.9573 0.7500 0.2035  4 Pu 2.25-2.47

ΔE to the lowest computed polymorph, meV per atom: 0
Formation energy from raw total energies, kJ per mole of atoms: -178
DOS(E_F), states/eV per cell: 113.779

=====

[12]
Tb3CuNi2: optimized geometry, PBE.

Cell: 11.6051 3.8753 11.3273 Å, 90.00 90.00 90.00°
With the nearest neighbours (Å) after each atom.
Atoms (fractional coordinates):
Tb 0.0561 0.2500 0.1283  4 Ni 2.85-2.87, 1 Cu 2.96
Tb 0.1223 0.7500 0.5726  4 Ni 2.84-3.02, 3 Cu 2.91-2.92
Tb 0.2038 0.2500 0.8246  3 Ni 2.80-2.93, 2 Cu 2.85
Tb 0.2962 0.7500 0.3246  3 Ni 2.80-2.93, 2 Cu 2.85
Tb 0.3777 0.2500 0.0726  4 Ni 2.84-3.02, 3 Cu 2.91-2.92
Tb 0.4439 0.7500 0.6283  4 Ni 2.85-2.87, 1 Cu 2.96
Tb 0.5561 0.2500 0.3717  4 Ni 2.85-2.87, 1 Cu 2.96
Tb 0.6223 0.7500 0.9274  4 Ni 2.84-3.02, 3 Cu 2.91-2.92
Tb 0.7038 0.2500 0.6754  3 Ni 2.80-2.93, 2 Cu 2.85
Tb 0.7962 0.7500 0.1754  3 Ni 2.80-2.93, 2 Cu 2.85
Tb 0.8777 0.2500 0.4274  4 Ni 2.84-3.02, 3 Cu 2.91-2.92
Tb 0.9439 0.7500 0.8717  4 Ni 2.85-2.87, 1 Cu 2.96
Cu 0.1245 0.2500 0.3801  3 Ni 2.47-2.55
Cu 0.3755 0.7500 0.8801  3 Ni 2.47-2.55
Cu 0.6245 0.2500 0.1199  3 Ni 2.47-2.55
Cu 0.8755 0.7500 0.6199  3 Ni 2.47-2.55
Ni 0.0132 0.7500 0.3072  2 Cu 2.47
Ni 0.1906 0.7500 0.0022  1 Cu 2.55, 2 Tb 2.80
Ni 0.3094 0.2500 0.5022  1 Cu 2.55, 2 Tb 2.80
Ni 0.4868 0.2500 0.8072  2 Cu 2.47
Ni 0.5132 0.7500 0.1928  2 Cu 2.47
Ni 0.6906 0.7500 0.4978  1 Cu 2.55, 2 Tb 2.80
Ni 0.8094 0.2500 0.9978  1 Cu 2.55, 2 Tb 2.80
Ni 0.9868 0.2500 0.6928  2 Cu 2.47

Calculated formation energy, eV/atom: -0.323
DOS(E_F), states/eV per cell: 18.876

=====

Please write out number 9 again, unchanged.
AlZn2HS: optimized geometry, PBE.

Cell: 4.9996 4.9996 3.3926 Å, 90.00 90.00 90.00°
With the nearest neighbours (Å) after each atom.
Atoms (fractional coordinates):
Al 0.0000 0.0000 0.0000  2 H 1.70
Zn 0.0000 0.5000 0.0000  2 Al 2.50
Zn 0.5000 0.0000 0.0000  2 Al 2.50
H 0.0000 0.0000 0.5000  2 Al 1.70
S 0.5000 0.5000 0.5000  8 Zn 3.02

Electronic total energy, eV per atom: -2.323
DOS(E_F), states/eV per cell: 3.298